## BaAsP2S8 (PBE)

Data for BaAsP2S8 after structural relaxation.

Summary:
Formation energy without anion corrections: -0.4483 eV per atom
N(E_F): 5.8 states/eV per cell

The structure in CIF format:
```
data_BaAsP2S8
_cell_length_a 6.0052
_cell_length_b 6.0052
_cell_length_c 9.0204
_cell_angle_alpha 90.00
_cell_angle_beta 90.00
_cell_angle_gamma 120.00
_symmetry_space_group_name_H-M 'P -3'
_symmetry_Int_Tables_number 147
_symmetry_space_group_name_Hall '-P 3'
loop_
_atom_site_label
_atom_site_type_symbol
_atom_site_fract_x
_atom_site_fract_y
_atom_site_fract_z
Ba1 Ba 0.0000 0.0000 0.0000
As1 As 0.0000 0.0000 0.5000
P1 P 0.3333 0.6667 0.7382
S1 S 0.0023 0.3307 0.6786
S2 S 0.3333 0.6667 0.9618
```

## BaAsP2S (PBE)

Data for BaAsP2S after structural relaxation.

Summary:
Formation energy without anion corrections: -0.1499 eV per atom
N(E_F): 4.4 states/eV per cell
Relative energy among the computed polymorphs: 0 meV/atom

The structure in CIF format:
```
data_BaAsP2S
_cell_length_a 4.840
_cell_length_b 4.840
_cell_length_c 5.188
_cell_angle_alpha 90.00
_cell_angle_beta 90.00
_cell_angle_gamma 90.00
_symmetry_space_group_name_H-M 'P 4/m m m'
_symmetry_Int_Tables_number 123
_symmetry_space_group_name_Hall '-P 4 2'
loop_
_atom_site_label
_atom_site_type_symbol
_atom_site_fract_x
_atom_site_fract_y
_atom_site_fract_z
Ba1 Ba 0.000 0.000 0.000
As1 As 0.500 0.500 0.500
P1 P 0.000 0.500 0.500
S1 S 0.500 0.500 0.000
```

## BaAsP2S (PBE)

Data for BaAsP2S after structural relaxation.

Summary:
Formation energy without anion corrections: 1.3811 eV per atom
N(E_F): 7.2 states/eV per cell
Relative energy among the computed polymorphs: 1531 meV/atom

The structure in CIF format:
```
data_BaAsP2S
_cell_length_a 6.379
_cell_length_b 6.379
_cell_length_c 5.726
_cell_angle_alpha 90.00
_cell_angle_beta 90.00
_cell_angle_gamma 90.00
_symmetry_space_group_name_H-M 'P 4/m m m'
_symmetry_Int_Tables_number 123
_symmetry_space_group_name_Hall '-P 4 2'
loop_
_atom_site_label
_atom_site_type_symbol
_atom_site_fract_x
_atom_site_fract_y
_atom_site_fract_z
Ba1 Ba 0.000 0.000 0.000
As1 As 0.500 0.500 0.500
P1 P 0.000 0.500 0.000
S1 S 0.000 0.000 0.500
```

## Ba6Sb2AsP (PBE)

Data for Ba6Sb2AsP after structural relaxation.

Summary:
Formation energy without anion corrections: -1.0408 eV per atom

The structure in CIF format:
```
data_Ba6Sb2AsP
_cell_length_a 8.310
_cell_length_b 8.937
_cell_length_c 14.547
_cell_angle_alpha 90.00
_cell_angle_beta 124.76
_cell_angle_gamma 90.00
_symmetry_space_group_name_H-M 'P 1 21/c 1'
_symmetry_Int_Tables_number 14
_symmetry_space_group_name_Hall '-P 2ybc'
loop_
_atom_site_label
_atom_site_type_symbol
_atom_site_fract_x
_atom_site_fract_y
_atom_site_fract_z
Ba1 Ba 0.120 0.059 0.247
Ba2 Ba 0.250 0.694 0.065
Ba3 Ba 0.373 0.188 0.063
Sb1 Sb 0.278 0.078 0.751
As1 As 0.500 0.000 0.500
P1 P 0.000 0.000 0.000
```

## BaScAs2P (PBE)

Data for BaScAs2P after structural relaxation.

Summary:
N(E_F): 3.3 states/eV per cell
E_form: 0.998 eV per atom

The structure in CIF format:
```
data_BaScAs2P
_cell_length_a 5.537
_cell_length_b 5.537
_cell_length_c 5.333
_cell_angle_alpha 90.00
_cell_angle_beta 90.00
_cell_angle_gamma 90.00
_symmetry_space_group_name_H-M 'P 4/m m m'
_symmetry_Int_Tables_number 123
_symmetry_space_group_name_Hall '-P 4 2'
loop_
_atom_site_label
_atom_site_type_symbol
_atom_site_fract_x
_atom_site_fract_y
_atom_site_fract_z
Ba1 Ba 0.000 0.000 0.000
Sc1 Sc 0.500 0.500 0.500
As1 As 0.000 0.500 0.000
P1 P 0.000 0.000 0.500
```

## Ba6As2PSe (PBE)

Data for Ba6As2PSe after structural relaxation.

Summary:
Formation energy without anion corrections: -1.1484 eV per atom
N(E_F): 7.0 states/eV per cell

The structure in CIF format:
```
data_Ba6As2PSe
_cell_length_a 7.894
_cell_length_b 8.770
_cell_length_c 14.256
_cell_angle_alpha 90.00
_cell_angle_beta 123.52
_cell_angle_gamma 90.00
_symmetry_space_group_name_H-M 'P 1 21/c 1'
_symmetry_Int_Tables_number 14
_symmetry_space_group_name_Hall '-P 2ybc'
loop_
_atom_site_label
_atom_site_type_symbol
_atom_site_fract_x
_atom_site_fract_y
_atom_site_fract_z
Ba1 Ba 0.090 0.062 0.244
Ba2 Ba 0.256 0.694 0.080
Ba3 Ba 0.396 0.183 0.082
As1 As 0.297 0.098 0.748
P1 P 0.000 0.000 0.000
Se1 Se 0.500 0.000 0.500
```

## Ba7AsP2Se2 (PBE)

Data for Ba7AsP2Se2 after structural relaxation.

Summary:
Formation energy without anion corrections: -1.1575 eV per atom
N(E_F): 8.3 states/eV per cell

The structure in CIF format:
```
data_Ba7AsP2Se2
_cell_length_a 6.439
_cell_length_b 25.259
_cell_length_c 6.562
_cell_angle_alpha 90.00
_cell_angle_beta 90.00
_cell_angle_gamma 90.00
_symmetry_space_group_name_H-M 'I m m 2'
_symmetry_Int_Tables_number 44
_symmetry_space_group_name_Hall 'I 2 -2'
loop_
_atom_site_label
_atom_site_type_symbol
_atom_site_fract_x
_atom_site_fract_y
_atom_site_fract_z
Ba1 Ba 0.000 0.000 0.000
Ba2 Ba 0.000 0.118 0.397
Ba3 Ba 0.000 0.240 0.895
Ba4 Ba 0.000 0.391 0.404
As1 As 0.000 0.500 0.710
P1 P 0.000 0.119 0.878
Se1 Se 0.000 0.248 0.395
```

## Ba2SiAsP (PBE)

Data for Ba2SiAsP after structural relaxation.

Summary:
Formation energy without anion corrections: -0.8059 eV per atom
N(E_F): 2.1 states/eV per cell

The structure in CIF format:
```
data_Ba2SiAsP
_cell_length_a 7.800
_cell_length_b 4.400
_cell_length_c 8.936
_cell_angle_alpha 90.00
_cell_angle_beta 90.06
_cell_angle_gamma 90.00
_symmetry_space_group_name_H-M 'P 1 21/m 1'
_symmetry_Int_Tables_number 11
_symmetry_space_group_name_Hall '-P 2yb'
loop_
_atom_site_label
_atom_site_type_symbol
_atom_site_fract_x
_atom_site_fract_y
_atom_site_fract_z
Ba1 Ba 0.247 0.250 0.008
Ba2 Ba 0.247 0.250 0.491
Si1 Si 0.412 0.750 0.750
As1 As 0.110 0.750 0.750
P1 P 0.462 0.750 0.250
```

## Ba2SrAsP (PBE)

Data for Ba2SrAsP after structural relaxation.

Summary:
N(E_F): 0.0 states/eV per cell
E_form: -0.748 eV per atom

The structure in CIF format:
```
data_Ba2SrAsP
_cell_length_a 6.074
_cell_length_b 6.074
_cell_length_c 5.923
_cell_angle_alpha 90.00
_cell_angle_beta 90.00
_cell_angle_gamma 90.00
_symmetry_space_group_name_H-M 'P 4 m m'
_symmetry_Int_Tables_number 99
_symmetry_space_group_name_Hall 'P 4 -2'
loop_
_atom_site_label
_atom_site_type_symbol
_atom_site_fract_x
_atom_site_fract_y
_atom_site_fract_z
Ba1 Ba 0.000 0.500 0.000
Sr1 Sr 0.000 0.000 0.554
As1 As 0.500 0.500 0.700
P1 P 0.000 0.000 0.072
```

## Ba2VAsP (PBE)

Data for Ba2VAsP after structural relaxation.

Summary:
N(E_F): 1.3 states/eV per cell
E_form: 0.084 eV per atom

The structure in CIF format:
```
data_Ba2VAsP
_cell_length_a 6.203
_cell_length_b 6.203
_cell_length_c 4.605
_cell_angle_alpha 90.00
_cell_angle_beta 90.00
_cell_angle_gamma 90.00
_symmetry_space_group_name_H-M 'P 4/m m m'
_symmetry_Int_Tables_number 123
_symmetry_space_group_name_Hall '-P 4 2'
loop_
_atom_site_label
_atom_site_type_symbol
_atom_site_fract_x
_atom_site_fract_y
_atom_site_fract_z
Ba1 Ba 0.000 0.500 0.000
V1 V 0.000 0.000 0.000
As1 As 0.000 0.000 0.500
P1 P 0.500 0.500 0.500
```

## BaAsP2W (PBE)

Data for BaAsP2W after structural relaxation.

Summary:
N(E_F): 3.7 states/eV per cell
E_form: 0.741 eV per atom

The structure in CIF format:
```
data_BaAsP2W
_cell_length_a 5.144
_cell_length_b 5.144
_cell_length_c 4.741
_cell_angle_alpha 90.00
_cell_angle_beta 90.00
_cell_angle_gamma 90.00
_symmetry_space_group_name_H-M 'P 4/m m m'
_symmetry_Int_Tables_number 123
_symmetry_space_group_name_Hall '-P 4 2'
loop_
_atom_site_label
_atom_site_type_symbol
_atom_site_fract_x
_atom_site_fract_y
_atom_site_fract_z
Ba1 Ba 0.000 0.000 0.000
As1 As 0.500 0.500 0.500
P1 P 0.000 0.500 0.500
W1 W 0.500 0.500 0.000
```

Number 1: total energy -4.649 eV per atom. Number 2: total energy -4.454 eV per atom. Number 3: total energy -2.923 eV per atom. Number 4: total energy -4.025 eV per atom. Number 5: total energy -3.595 eV per atom. Number 6: total energy -4.121 eV per atom. Number 7: total energy -4.149 eV per atom. Number 8: total energy -4.672 eV per atom. Number 9: total energy -3.866 eV per atom. Number 10: total energy -4.521 eV per atom. Number 11: total energy -5.328 eV per atom.